*w*
First-principles (PBE) data for a relaxed Ni2Te2S crystal, as listed in the Alexandria database.

Cell: 5.4478 7.0172 10.0737 Å, 90.00 90.00 90.00°
Element x y z (fractional)
Ni: 0.7500 0.4659 0.7694
Ni: 0.2500 0.0341 0.2694
Ni: 0.2500 0.5341 0.2306
Ni: 0.7500 0.9659 0.7306
Ni: 0.7500 0.8320 0.0786
Ni: 0.2500 0.6680 0.5786
Ni: 0.2500 0.1680 0.9214
Ni: 0.7500 0.3320 0.4214
Te: 0.7500 0.6790 0.5533
Te: 0.2500 0.8210 0.0533
Te: 0.2500 0.3210 0.4467
Te: 0.7500 0.1790 0.9467
Te: 0.7500 0.9944 0.3055
Te: 0.2500 0.5056 0.8055
Te: 0.2500 0.0056 0.6945
Te: 0.7500 0.4944 0.1945
S: 0.7500 0.2354 0.6272
S: 0.2500 0.2646 0.1272
S: 0.2500 0.7646 0.3728
S: 0.7500 0.7354 0.8728

***

*x*
First-principles (PBE) data for a relaxed Ni2Te2S crystal, as listed in the Alexandria database.

Cell: 7.4912 7.4912 3.3144 Å, 90.00 90.00 90.00°
Element x y z (fractional)
Ni: 0.1141 0.6141 0.5000
Ni: 0.6141 0.8859 0.5000
Ni: 0.8859 0.3859 0.5000
Ni: 0.3859 0.1141 0.5000
S: 0.0000 0.0000 0.0000
S: 0.5000 0.5000 0.0000
Te: 0.3180 0.8180 0.0000
Te: 0.8180 0.6820 0.0000
Te: 0.6820 0.1820 0.0000
Te: 0.1820 0.3180 0.0000

***

How do the structures above rank in stability at the extremes? *w* comes first and *x* comes last.